Entry 1:
Here is a relaxed AcMg2H8Ru crystal from Alexandria via LeMat-Bulk. Energies are from GGA-PBE.

- total energy (eV for the cell shown) = -48.158
- spin magnetization (μB per atom) = 0.000

Unit cell a=4.5383 b=4.5383 c=6.8901 alpha=90.00 beta=90.00 gamma=120.00
Space group P-3m1 (No. 164)
Asymmetric unit:
Ac (0.0000, 0.0000, 0.0000)
Mg (0.3333, 0.6667, 0.3775)
H (0.1677, 0.3355, 0.6578)
H (0.3333, 0.6667, 0.0866)
Ru (0.0000, 0.0000, 0.5000)

=====

Entry 2:
Here is a relaxed Na3Dy2NpTe6 crystal from Alexandria via LeMat-Bulk. Energies are from GGA-PBE.

- total energy (eV for the cell shown) = -117.254
- formation energy without anion corrections (eV per atom) = -1.140
- spin magnetization (μB per atom) = 0.333

Unit cell a=7.712 b=13.371 c=7.979 alpha=90.00 beta=108.81 gamma=90.00
Space group C2/m (No. 12)
Asymmetric unit:
Na (0.000, 0.000, 0.000)
Na (0.000, 0.334, 0.000)
Dy (0.000, 0.167, 0.500)
Np (0.000, 0.500, 0.500)
Te (0.240, 0.000, 0.733)
Te (0.247, 0.331, 0.734)

=====

Entry 3:
Here is a relaxed LuPaTcMo crystal from Alexandria via LeMat-Bulk. Energies are from GGA-PBE.

- total energy (eV for the cell shown) = -141.537
- spin magnetization (μB per atom) = 0.000

Unit cell a=6.817 b=6.817 c=6.817 alpha=90.00 beta=90.00 gamma=90.00
Space group F-43m (No. 216)
Asymmetric unit:
Lu (0.000, 0.000, 0.000)
Pa (0.000, 0.000, 0.500)
Tc (0.250, 0.250, 0.750)
Mo (0.250, 0.250, 0.250)

=====

Entry 4:
Here is a relaxed Sm2SbN crystal from Alexandria via LeMat-Bulk. Energies are from GGA-PBE.

- total energy (eV for the cell shown) = -54.172
- E above lowest polymorph (meV per atom) = 0
- formation energy without anion corrections (eV per atom) = -1.300
- spin magnetization (μB per atom) = 0.000

Unit cell a=4.636 b=4.636 c=9.155 alpha=90.00 beta=90.00 gamma=90.00
Space group P4/nmm (No. 129, origin choice 2)
Asymmetric unit:
Sm (0.250, 0.250, 0.172)
Sm (0.250, 0.750, 0.500)
Sb (0.250, 0.250, 0.806)
N (0.250, 0.250, 0.418)

=====

Entry 5:
Here is a relaxed HoZnIr crystal from Alexandria via LeMat-Bulk. Energies are from GGA-PBE.

- total energy (eV for the cell shown) = -32.364
- spin magnetization (μB per atom) = 0.000

Unit cell a=3.416 b=3.416 c=9.559 alpha=90.00 beta=90.00 gamma=90.00
Space group I4mm (No. 107)
Asymmetric unit:
Ho (0.000, 0.000, 0.000)
Zn (0.000, 0.000, 0.302)
Ir (0.000, 0.000, 0.672)

=====

Entry 6:
Here is a relaxed Pr3ErAu3 crystal from Alexandria via LeMat-Bulk. Energies are from GGA-PBE.

- total energy (eV for the cell shown) = -131.567
- spin magnetization (μB per atom) = 0.000

Unit cell a=9.818 b=10.980 c=7.404 alpha=90.00 beta=91.57 gamma=90.00
Space group C2/m (No. 12)
Asymmetric unit:
Pr (0.000, 0.178, 0.000)
Pr (0.000, 0.262, 0.500)
Pr (0.157, 0.500, 0.883)
Er (0.249, 0.500, 0.381)
Au (0.063, 0.000, 0.316)
Au (0.240, 0.266, 0.222)

=====

Entry 7:
Here is a relaxed Ce9Al2Ag crystal from Alexandria via LeMat-Bulk. Energies are from GGA-PBE.

- total energy (eV for the cell shown) = -64.739
- spin magnetization (μB per atom) = 0.000

Unit cell a=5.491 b=5.491 c=9.630 alpha=90.00 beta=90.00 gamma=90.00
Space group P4/mmm (No. 123)
Asymmetric unit:
Ce (0.000, 0.000, 0.000)
Ce (0.000, 0.000, 0.334)
Ce (0.000, 0.500, 0.167)
Ce (0.000, 0.500, 0.500)
Al (0.500, 0.500, 0.337)
Ag (0.500, 0.500, 0.000)

=====

Entry 8:
Here is a relaxed ZrBeSe3 crystal from Alexandria via LeMat-Bulk. Energies are from GGA-PBE.

- total energy (eV for the cell shown) = -23.506
- E above lowest polymorph (meV per atom) = 0
- formation energy without anion corrections (eV per atom) = -0.156
- spin magnetization (μB per atom) = 0.000

Unit cell a=4.586 b=4.586 c=4.586 alpha=90.00 beta=90.00 gamma=90.00
Space group Pm-3m (No. 221)
Asymmetric unit:
Zr (0.000, 0.000, 0.000)
Be (0.500, 0.500, 0.500)
Se (0.000, 0.500, 0.500)

=====

Entry 9:
Here is a relaxed NdDy4Tm2 crystal from Alexandria via LeMat-Bulk. Energies are from GGA-PBE.

- total energy (eV for the cell shown) = -63.779
- E above lowest polymorph (meV per atom) = 0
- spin magnetization (μB per atom) = 0.000

Unit cell a=16.601 b=3.518 c=8.710 alpha=90.00 beta=119.18 gamma=90.00
Space group C2/m (No. 12)
Asymmetric unit:
Nd (0.000, 0.000, 0.000)
Dy (0.140, 0.500, 0.830)
Dy (0.205, 0.500, 0.294)
Tm (0.071, 0.000, 0.431)

=====

Entry 10:
Here is a relaxed Pm4Y7In crystal from Alexandria via LeMat-Bulk. Energies are from GGA-PBE.

- total energy (eV for the cell shown) = -130.151
- E above lowest polymorph (meV per atom) = 36
- spin magnetization (μB per atom) = 0.000

Unit cell a=12.232 b=5.857 c=12.493 alpha=90.00 beta=114.17 gamma=90.00
Space group C2/m (No. 12)
Asymmetric unit:
Pm (0.121, 0.000, 0.268)
Pm (0.160, 0.500, 0.131)
Y (0.000, 0.000, 0.500)
Y (0.101, 0.500, 0.774)
Y (0.133, 0.000, 0.981)
Y (0.200, 0.500, 0.421)
In (0.000, 0.500, 0.500)

=====

Entry 11:
Here is a relaxed CePmNi2Ge2 crystal from Alexandria via LeMat-Bulk. Energies are from GGA-PBE.

- total energy (eV for the cell shown) = -35.842
- spin magnetization (μB per atom) = 0.000

Unit cell a=4.1755 b=4.1755 c=7.8388 alpha=90.00 beta=90.00 gamma=120.00
Space group P-3m1 (No. 164)
Asymmetric unit:
Ce (0.0000, 0.0000, 0.0000)
Pm (0.0000, 0.0000, 0.5000)
Ni (0.3333, 0.6667, 0.7570)
Ge (0.3333, 0.6667, 0.2458)

=====

Entry 12:
Here is a relaxed ZrHg2Os crystal from Alexandria via LeMat-Bulk. Energies are from GGA-PBE.

- total energy (eV for the cell shown) = -36.053
- E above lowest polymorph (meV per atom) = 506
- spin magnetization (μB per atom) = 0.212

Unit cell a=3.401 b=4.751 c=9.692 alpha=90.00 beta=90.00 gamma=90.00
Space group Cmmm (No. 65)
Asymmetric unit:
Zr (0.000, 0.000, 0.000)
Hg (0.000, 0.500, 0.261)
Os (0.000, 0.000, 0.500)